Record 1
The following is a PBE-GGA calculation of a relaxed structure of NdDyCSe, from the Alexandria database. Values from VASP.

Output
space-group type: No. 160
formation energy (no corrections): -1.0361 eV/atom

Structure (Quantum ESPRESSO input):
```
&SYSTEM
  ibrav = 0, nat = 4, ntyp = 4
/
ATOMIC_SPECIES
Nd 144.24 Nd.upf
Dy 162.50 Dy.upf
C 12.01 C.upf
Se 78.96 Se.upf
ATOMIC_POSITIONS angstrom
Nd 2.1491 -4.0096 0.7764
Dy 1.9886 0.2798 -2.8196
C 4.6587 -4.2090 0.0426
Se -0.4404 -3.3179 -0.7535
CELL_PARAMETERS angstrom
-3.1578 -2.1018 -0.3474
2.0552 0.8741 -3.0857
5.1340 -4.6124 2.1145
```

Record 2
The following is a PBE-GGA calculation of a relaxed structure of Nd3DySn2C, from the Alexandria database. Values from VASP.

Output
space-group type: No. 71
electronic total energy: -40.3 eV/f.u.

Structure (Quantum ESPRESSO input):
```
&SYSTEM
  ibrav = 0, nat = 7, ntyp = 4
/
ATOMIC_SPECIES
Nd 144.24 Nd.upf
Dy 162.50 Dy.upf
Sn 118.71 Sn.upf
C 12.01 C.upf
ATOMIC_POSITIONS angstrom
Nd -2.0953 -1.2198 0.5780
Nd 1.0842 -0.7638 2.3185
Nd -0.6932 -0.8198 6.5050
Dy -0.8708 2.0012 1.0665
Sn -2.0401 0.1290 3.6248
Sn 2.4311 -1.7126 5.1987
C 0.0000 0.0000 0.0000
CELL_PARAMETERS angstrom
-1.7417 4.0024 2.1330
-4.1907 -2.4397 1.1560
6.3234 -3.1463 5.5345
```

Record 3
The following is a PBE-GGA calculation of a relaxed structure of NdDyTeC, from the Alexandria database. Values from VASP.

Output
space-group type: No. 160
formation energy (no corrections): -0.7816 eV/atom

Structure (Quantum ESPRESSO input):
```
&SYSTEM
  ibrav = 0, nat = 4, ntyp = 4
/
ATOMIC_SPECIES
Nd 144.24 Nd.upf
Dy 162.50 Dy.upf
Te 127.60 Te.upf
C 12.01 C.upf
ATOMIC_POSITIONS angstrom
Nd 2.3003 -3.9555 1.8694
Dy 2.9643 1.8154 0.5557
Te 1.9559 -2.7648 -1.1308
C 4.0899 -3.5289 3.7827
CELL_PARAMETERS angstrom
-0.2005 -2.0382 -3.3029
2.9821 2.4152 0.6154
2.8588 -4.8289 5.0921
```